A plane-wave DFT calculation with meta-GGA SCAN was carried out for a PBEsol-optimized structure of Li4Ti2V3Fe4O18.

Lattice parameters (Å, degrees): 2.815 9.138 23.557 90.00 90.00 90.00
Fractional coordinates of all 62 atoms:
O  0.000  0.035  0.658
O  0.500  0.016  0.082
O  0.500  0.698  0.137
O  0.000  0.062  0.448
O  0.000  0.938  0.552
O  0.000  0.844  0.841
O  0.500  0.296  0.077
O  0.500  0.302  0.863
O  0.500  0.628  0.241
O  0.500  0.128  0.259
O  0.000  0.375  0.295
O  0.000  0.965  0.342
O  0.500  0.372  0.759
O  0.000  0.647  0.502
O  0.000  0.465  0.158
O  0.000  0.853  0.002
O  0.500  0.872  0.741
O  0.000  0.535  0.842
O  0.500  0.984  0.918
O  0.000  0.562  0.052
O  0.500  0.704  0.923
O  0.500  0.802  0.637
O  0.500  0.198  0.363
O  0.000  0.147  0.998
O  0.000  0.875  0.205
O  0.000  0.156  0.159
O  0.500  0.484  0.582
O  0.000  0.353  0.498
O  0.000  0.344  0.659
O  0.000  0.125  0.795
O  0.000  0.625  0.705
O  0.000  0.438  0.948
O  0.500  0.516  0.418
O  0.500  0.204  0.577
O  0.500  0.796  0.423
O  0.000  0.656  0.341
V  0.000  0.685  0.191
V  0.000  0.185  0.309
V  0.000  0.815  0.691
V  0.000  0.315  0.809
V  0.500  0.500  0.500
V  0.500  0.000  0.000
Li  0.500  0.311  0.988
Li  0.500  0.689  0.012
Li  0.500  0.811  0.512
Li  0.500  0.189  0.488
Li  0.500  0.690  0.812
Li  0.500  0.810  0.312
Li  0.500  0.310  0.188
Li  0.500  0.190  0.688
Ti  0.500  0.500  0.100
Ti  0.500  0.500  0.900
Ti  0.500  0.000  0.600
Ti  0.500  0.000  0.400
Fe  0.500  0.979  0.813
Fe  0.000  0.346  0.580
Fe  0.000  0.846  0.920
Fe  0.500  0.479  0.687
Fe  0.000  0.154  0.080
Fe  0.500  0.021  0.187
Fe  0.500  0.521  0.313
Fe  0.000  0.654  0.420

Computed properties:
Its total energy is -11.3186 eV per atom. The formation energy without anion corrections comes out at -6958 kJ/mol of formula units. The calculation puts the density of states at the Fermi level at 13.24 states/eV per cell. The size of the total moment is 9.000 μB/f.u. The density is 4.3 g cm⁻³.

A plane-wave DFT calculation with meta-GGA SCAN was carried out for a PBEsol-optimized structure of YSn2Mo.

Lattice parameters (Å, degrees): 4.894 4.894 4.894 60.00 60.00 60.00
Fractional coordinates of all 4 atoms:
Y  0.000  0.000  0.000
Sn  0.250  0.250  0.250
Sn  0.750  0.750  0.750
Mo  0.500  0.500  0.500

Computed properties:
Its total energy is -33.7060 eV per atom. The value obtained for the formation energy from the elements is -0.25 eV per formula unit. The calculation puts the density of states at the Fermi level at 3.85 states/eV per cell. The size of the total moment is 0.000 μB/f.u. The density is 8.5 g cm⁻³.

A plane-wave DFT calculation with meta-GGA SCAN was carried out for a PBEsol-optimized structure of TaReAs2.

Lattice parameters (Å, degrees): 4.085 4.085 4.773 115.34 115.34 90.00
Fractional coordinates of all 4 atoms:
As  0.750  0.250  0.500
As  0.000  0.000  0.000
Ta  0.250  0.750  0.500
Re  0.500  0.500  0.000

Computed properties:
Its total energy is -44.3137 eV per atom. The value obtained for the formation energy from the elements is 0.81 eV per formula unit. The calculation puts the density of states at the Fermi level at 0.82 states/eV per cell. The size of the total moment is 0.000 μB/f.u. The density is 13.5 g cm⁻³.

A plane-wave DFT calculation with meta-GGA SCAN was carried out for a PBEsol-optimized structure of Dy5Si4.

Lattice parameters (Å, degrees): 7.346 7.600 14.396 90.00 90.00 90.00
Fractional coordinates of all 36 atoms:
Si  0.979  0.898  0.250
Si  0.354  0.972  0.460
Si  0.265  0.873  0.750
Si  0.521  0.398  0.750
Si  0.479  0.602  0.250
Si  0.146  0.472  0.540
Si  0.354  0.972  0.040
Si  0.146  0.472  0.960
Si  0.646  0.028  0.540
Si  0.021  0.102  0.750
Si  0.235  0.373  0.250
Si  0.735  0.127  0.250
Si  0.765  0.627  0.750
Si  0.854  0.528  0.460
Si  0.646  0.028  0.960
Si  0.854  0.528  0.040
Dy  0.529  0.317  0.098
Dy  0.818  0.320  0.877
Dy  0.182  0.680  0.377
Dy  0.529  0.317  0.402
Dy  0.852  0.489  0.250
Dy  0.682  0.820  0.123
Dy  0.471  0.683  0.902
Dy  0.971  0.817  0.598
Dy  0.648  0.989  0.750
Dy  0.318  0.180  0.623
Dy  0.818  0.320  0.623
Dy  0.682  0.820  0.377
Dy  0.182  0.680  0.123
Dy  0.352  0.011  0.250
Dy  0.148  0.511  0.750
Dy  0.029  0.183  0.098
Dy  0.471  0.683  0.598
Dy  0.318  0.180  0.877
Dy  0.029  0.183  0.402
Dy  0.971  0.817  0.902

Computed properties:
Its total energy is -31.7849 eV per atom. The formation energy without anion corrections comes out at -677 kJ/mol of formula units. The calculation puts the density of states at the Fermi level at 31.23 states/eV per cell. The size of the total moment is 0.001 μB/f.u. The density is 7.6 g cm⁻³.

A plane-wave DFT calculation with meta-GGA SCAN was carried out for a PBEsol-optimized structure of Be2IrRu.

Lattice parameters (Å, degrees): 3.258 3.258 4.764 109.99 109.99 90.00
Fractional coordinates of all 4 atoms:
Be  0.750  0.250  0.500
Be  0.000  0.000  0.000
Ru  0.250  0.750  0.500
Ir  0.500  0.500  0.000

Computed properties:
Its total energy is -28.9232 eV per atom. The value obtained for the formation energy from the elements is -1.06 eV per formula unit. The calculation puts the density of states at the Fermi level at 3.99 states/eV per cell. The size of the total moment is 0.002 μB/f.u. The density is 11.7 g cm⁻³.

A plane-wave DFT calculation with meta-GGA SCAN was carried out for a PBEsol-optimized structure of Hg5Sb.

Lattice parameters (Å, degrees): 5.601 5.601 5.662 90.00 90.00 120.00
Fractional coordinates of all 6 atoms:
Sb  0.000  0.000  0.000
Hg  0.500  0.500  0.500
Hg  0.000  0.500  0.500
Hg  0.667  0.333  0.000
Hg  0.500  0.000  0.500
Hg  0.333  0.667  0.000

Computed properties:
Its total energy is -62.7561 eV per atom. The formation energy without anion corrections comes out at 150 kJ/mol of formula units. The calculation puts the density of states at the Fermi level at 2.35 states/eV per cell. The size of the total moment is 0.000 μB/f.u. The density is 12.1 g cm⁻³.

A plane-wave DFT calculation with meta-GGA SCAN was carried out for a PBEsol-optimized structure of SiOs2Br.

Lattice parameters (Å, degrees): 2.890 2.890 8.254 79.92 79.92 60.00
Fractional coordinates of all 4 atoms:
Os  0.758  0.758  0.726
Os  0.242  0.242  0.274
Br  0.000  0.000  0.000
Si  0.500  0.500  0.500

Computed properties:
Its total energy is -42.7165 eV per atom. The formation energy without anion corrections comes out at 229 kJ/mol of formula units. The calculation puts the density of states at the Fermi level at 2.40 states/eV per cell. The size of the total moment is 0.000 μB/f.u. The density is 13.9 g cm⁻³.

A plane-wave DFT calculation with meta-GGA SCAN was carried out for a PBEsol-optimized structure of BaIn2Co.

Lattice parameters (Å, degrees): 4.034 5.396 5.396 118.57 90.00 90.00
Fractional coordinates of all 4 atoms:
In  0.000  0.170  0.830
In  0.000  0.830  0.170
Ba  0.500  0.500  0.500
Co  0.500  0.000  0.000

Computed properties:
Its total energy is -30.9341 eV per atom. The value obtained for the formation energy from the elements is -0.11 eV per formula unit. The calculation puts the density of states at the Fermi level at 2.69 states/eV per cell. The size of the total moment is 1.438 μB/f.u. The density is 6.9 g cm⁻³.

A plane-wave DFT calculation with meta-GGA SCAN was carried out for a PBEsol-optimized structure of LaTe.

Lattice parameters (Å, degrees): 4.516 4.516 4.516 60.00 60.00 60.00
Fractional coordinates of all 2 atoms:
La  0.000  0.000  0.000
Te  0.500  0.500  0.500

Computed properties:
Its total energy is -41.9286 eV per atom. The formation energy without anion corrections comes out at -338 kJ/mol of formula units. The calculation puts the density of states at the Fermi level at 1.12 states/eV per cell. The size of the total moment is 0.002 μB/f.u. The density is 6.8 g cm⁻³.

A plane-wave DFT calculation with meta-GGA SCAN was carried out for a PBEsol-optimized structure of SrAl2Zn.

Lattice parameters (Å, degrees): 3.473 4.327 6.222 90.00 103.07 90.00
Fractional coordinates of all 4 atoms:
Al  0.835  0.000  0.682
Al  0.165  0.000  0.318
Sr  0.500  0.500  0.000
Zn  0.000  0.500  0.500

Computed properties:
Its total energy is -12.8653 eV per atom. The value obtained for the formation energy from the elements is -0.17 eV per formula unit. The calculation puts the density of states at the Fermi level at 1.56 states/eV per cell. The size of the total moment is 0.000 μB/f.u. The density is 3.8 g cm⁻³.